Computed, not measured: a relaxed structure of Ho5Bi4Sb at the PBE level of DFT.

a b c (Å): 6.281 7.693 7.693
angles (deg): 80.41 65.91 65.91
Sites, in units of the cell vectors:
Ho 0.902 0.395 0.804
Ho 0.297 0.804 0.605
Ho 0.705 0.196 0.395
Ho 0.100 0.605 0.196
Ho 0.501 0.000 0.000
Bi 0.402 0.399 0.798
Bi 0.802 0.798 0.601
Bi 0.200 0.202 0.399
Bi 0.599 0.601 0.202
Sb 0.001 0.000 0.000

Results
Space-group type = I4/m (87)
Raw formation energy = -890 meV/atom